The following is a PBE-GGA calculation of a relaxed structure of Li2TeS, from Alexandria.

space-group type = No. 122
ΔE to the lowest computed polymorph = 0.00 eV per formula unit

Cell lengths 7.4516, 7.4516, 5.9866 Å; angles 51.51, 51.51, 90.00 degrees
Fractional positions:
S: 0.5000 0.5000 0.0000
S: 0.2500 0.7500 0.5000
Te: 0.0000 0.0000 0.0000
Te: 0.7500 0.2500 0.5000
Li: 0.5584 0.1250 0.2500
Li: 0.1916 0.6250 0.2500
Li: 0.3750 0.4416 0.7500
Li: 0.8750 0.8084 0.7500

***

The following is a PBE-GGA calculation of a relaxed structure of TlCr2Co, from Alexandria.

space-group type = No. 8
ΔE to the lowest computed polymorph = 0.38 eV per formula unit
E_form = 2.3 eV per formula unit

Cell lengths 4.6773, 4.6773, 4.7502 Å; angles 74.05, 74.05, 37.25 degrees
Site moments in Bohr magnetons follow the coordinates.
Fractional positions:
Co: 0.2687 0.2687 0.2163  1.11
Cr: 0.0019 0.0019 0.9878  2.18
Cr: 0.7256 0.7256 0.8126  -2.35
Tl: 0.5038 0.5038 0.4834  -0.01

***

DFT total energy for the records above, in order: -3.502; -6.612 eV/atom